Compound: Tb4BiN
Source: the Alexandria database
Functional: PBE-GGA
Structure: optimized geometry

Cell: 5.9546 7.1853 8.0518 Å, 105.46 111.68 90.00°
Positions (direct):
Bi 0.1039 0.2502 0.0001
Tb 0.8580 0.8157 0.6096
N 0.0000 0.5000 0.5000
Tb 0.2485 0.6842 0.3904
Tb 0.5349 0.9384 0.2099
Bi 0.8961 0.7498 0.9999
N 0.5000 0.0000 0.5000
Tb 0.1420 0.1843 0.3904
Tb 0.7515 0.3158 0.6096
Tb 0.6752 0.4384 0.2096
Tb 0.3248 0.5616 0.7904
Tb 0.4651 0.0616 0.7901

Summary:
As for the space group: No. 15. The raw total energy comes out at -70.33 eV per cell. For the total moment, the calculation gives 0.0 μB/cell. Its energy relative to the elements, uncorrected is -0.74 eV per atom. The calculation puts the mass density at 9.3 g cm⁻³. As for the crystal system: monoclinic.